Entry 1:
Here is a relaxed structure of BaDyRe from the Open Quantum Materials Database. Energies are from PBE-GGA.

Results
- Space-group type: F-43m (216)
- Final energy: -4.49 eV per atom

The structure in extended XYZ format:
```
3
Lattice="-4.4010 -2.0053 0.9046 -3.8793 1.2302 -2.7651 -1.9108 -3.2627 -3.1483" Properties=species:S:1:pos:R:3 pbc="T T T"
Ba 0.0000 0.0000 0.0000
Dy -2.5478 -1.0095 -1.2522
Re -7.6433 -3.0284 -3.7566
```

Entry 2:
Here is a relaxed structure of LaHoGe2Au2 from the Open Quantum Materials Database. Energies are from PBE-GGA.

Results
- Space-group type: P3m1 (156)
- Final energy: -5.08 eV per atom

The structure in extended XYZ format:
```
6
Lattice="4.5080 0.0000 0.0000 -2.2540 3.9041 0.0000 0.0000 0.0000 7.6410" Properties=species:S:1:pos:R:3 pbc="T T T"
Au 2.2540 1.3013 1.9271
Au 0.0000 2.6027 6.1841
Ge 0.0000 2.6027 1.5641
Ge 2.2540 1.3013 5.5600
Ho 0.0000 0.0000 0.0103
La 0.0000 0.0000 3.8680
```

Entry 3:
Here is a relaxed structure of Na2OsPbO6 from the Open Quantum Materials Database. Energies are from PBE-GGA.

Results
- Space-group type: Fm-3m (225)
- Final energy: -5.75 eV per atom

The structure in extended XYZ format:
```
10
Lattice="-5.6559 0.5928 0.1719 -2.7868 2.0265 -4.5274 -3.3167 -3.4495 -3.0774" Properties=species:S:1:pos:R:3 pbc="T T T"
Na -2.9398 -0.2075 -1.8582
Na -8.8195 -0.6226 -5.5747
O -4.2494 0.8719 -4.1439
O -5.7617 0.1162 -1.6669
O -7.2307 1.1844 -4.0533
O -4.5287 -2.0145 -3.3796
O -7.5100 -1.7021 -3.2890
O -5.9977 -0.9463 -5.7660
Os 0.0000 0.0000 0.0000
Pb -5.8797 -0.4151 -3.7164
```